Compound: LaRe2Pt
Source: Alexandria via LeMat-Bulk
Functional: PBE
Structure: relaxed

Calculated values
Energy above the most stable polymorph in this dataset (eV/atom): 0.463
ΔE_f (eV/atom): 0.4322
Space-group type: P4/mmm

abc: 2.8035 2.8035 9.2315
angles: 90.00 90.00 90.00
With the nearest neighbours (Å) after each atom.
Fractional coordinates of all 4 atoms:
1 Re 0.0000 0.0000 0.9625  4 Pt 2.79, 4 Re 2.80
2 Pt 0.5000 0.5000 0.7500  8 Re 2.79, 4 Pt 2.80
3 La 0.5000 0.5000 0.2500  4 La 2.80
4 Re 0.0000 0.0000 0.5375  4 Pt 2.79, 4 Re 2.80